VASP calculation (GGA-PBE) on a geometry-optimized MgAsPd14 structure.

Summary:
Its space group is Amm2. For the energy, the calculation gives -81.69 eV per cell. The density of states at the Fermi level is 22.626 states/eV per cell. The calculation puts the formation energy from the elements at -2.7 eV/f.u.

Geometry as POSCAR:
```
MgAsPd14
1.0
-2.079 4.783 1.804
-3.333 -3.216 -3.001
-2.876 -4.118 7.606
Pd As Mg
14 1 1
direct
0.376 0.138 0.262 Pd
0.365 0.635 0.245 Pd
0.184 0.816 0.000 Pd
0.873 0.127 0.248 Pd
0.687 0.809 0.000 Pd
0.191 0.313 0.000 Pd
0.570 0.921 0.500 Pd
0.689 0.311 0.000 Pd
0.079 0.430 0.500 Pd
0.862 0.624 0.262 Pd
0.862 0.624 0.738 Pd
0.873 0.127 0.752 Pd
0.376 0.138 0.738 Pd
0.365 0.635 0.755 Pd
0.582 0.418 0.500 As
0.067 0.933 0.500 Mg
```